Hg2AsRh | PBE | optimized geometry

Values from the calculation:
crystal system: tetragonal
energy of formation from the pure elements: 0.284 eV/atom
total energy: -2.867 eV/atom

Structure (CIF):
```
data_Hg2AsRh
_chemical_formula_sum 'Hg4 As2 Rh2'
_cell_length_a 4.2136
_cell_length_b 4.2136
_cell_length_c 8.5886
_cell_angle_alpha 90.00
_cell_angle_beta 90.00
_cell_angle_gamma 90.00
_symmetry_space_group_name_H-M 'I -4 m 2'
_symmetry_Int_Tables_number 119
_symmetry_space_group_name_Hall 'I -4 -2'
loop_
_atom_site_label
_atom_site_fract_x
_atom_site_fract_y
_atom_site_fract_z
Hg1 0.0000 0.0000 0.0000
Hg2 0.0000 0.5000 0.2500
As1 0.0000 0.0000 0.5000
Rh1 0.0000 0.5000 0.7500
```



Hg2AsRh | PBE | optimized geometry

Values from the calculation:
crystal system: tetragonal
energy of formation from the pure elements: 0.373 eV/atom
total energy: -2.778 eV/atom

Structure (CIF):
```
data_Hg2AsRh
_chemical_formula_sum 'Hg8 As4 Rh4'
_cell_length_a 7.8233
_cell_length_b 7.8233
_cell_length_c 5.3944
_cell_angle_alpha 90.00
_cell_angle_beta 90.00
_cell_angle_gamma 90.00
_symmetry_space_group_name_H-M 'I -4 2 d'
_symmetry_Int_Tables_number 122
_symmetry_space_group_name_Hall 'I -4 2bw'
loop_
_atom_site_label
_atom_site_fract_x
_atom_site_fract_y
_atom_site_fract_z
Hg1 0.2450 0.2500 0.1250
As1 0.0000 0.0000 0.5000
Rh1 0.0000 0.0000 0.0000
```



HgAsRh2 | PBE | optimized geometry

Values from the calculation:
crystal system: monoclinic
energy of formation from the pure elements: -0.147 eV/atom
total energy: -5.061 eV/atom

Structure (CIF):
```
data_HgAsRh2
_chemical_formula_sum 'Hg1 As1 Rh2'
_cell_length_a 3.0049
_cell_length_b 3.0094
_cell_length_c 7.1692
_cell_angle_alpha 90.00
_cell_angle_beta 90.24
_cell_angle_gamma 90.00
_symmetry_space_group_name_H-M 'P 1 2/m 1'
_symmetry_Int_Tables_number 10
loop_
_symmetry_equiv_pos_as_xyz
'x,y,z'
'-x,-y,-z'
'-x,y,-z'
'x,-y,z'
loop_
_atom_site_label
_atom_site_fract_x
_atom_site_fract_y
_atom_site_fract_z
Hg1 0.0000 0.0000 0.0000
As1 0.0000 0.0000 0.5000
Rh1 0.4975 0.5000 0.2945
```



HgAsRh2 | PBE | optimized geometry

Values from the calculation:
crystal system: orthorhombic
energy of formation from the pure elements: -0.114 eV/atom
total energy: -5.028 eV/atom

Structure (CIF):
```
data_HgAsRh2
_chemical_formula_sum 'Hg2 As2 Rh4'
_cell_length_a 3.0875
_cell_length_b 3.4566
_cell_length_c 13.4396
_cell_angle_alpha 90.00
_cell_angle_beta 90.00
_cell_angle_gamma 90.00
_symmetry_space_group_name_H-M 'I m m 2'
_symmetry_Int_Tables_number 44
loop_
_symmetry_equiv_pos_as_xyz
'x,y,z'
'-x,-y,z'
'-x,y,z'
'x,-y,z'
'x+1/2,y+1/2,z+1/2'
'-x+1/2,-y+1/2,z+1/2'
'-x+1/2,y+1/2,z+1/2'
'x+1/2,-y+1/2,z+1/2'
loop_
_atom_site_label
_atom_site_fract_x
_atom_site_fract_y
_atom_site_fract_z
Hg1 0.0000 0.0000 0.0000
As1 0.0000 0.5000 0.2459
Rh1 0.0000 0.0000 0.3689
Rh2 0.0000 0.5000 0.6788
```